CaErAu2: relaxed, PBE.

Results
ΔH_f (0 K) = -0.72 eV per atom
N(E_F) = 0.446 states/eV per atom

abc: 4.0631 4.0631 22.2719
angles: 90.00 90.00 120.00
Space group R3m (No. 160, hexagonal axes)
Symmetry-distinct sites (fractional):
Ca: 0.0000 0.0000 0.0000
Er: 0.0000 0.0000 0.1693
Au: 0.0000 0.0000 0.5794
Au: 0.0000 0.0000 0.7567